# TaInFe3 (PBE, relaxed)
# ΔH_f (0 K): 6.43 eV/f.u.
# Density of states at the Fermi level: 5.0 states/eV/f.u.
# Density: 8.1 g cm⁻³
data_TaInFe3
_symmetry_space_group_name_H-M 'P m -3 m'
_symmetry_Int_Tables_number 221
_symmetry_space_group_name_Hall '-P 4 2 3'
_cell_length_a 4.565
_cell_length_b 4.565
_cell_length_c 4.565
_cell_angle_alpha 90.00
_cell_angle_beta 90.00
_cell_angle_gamma 90.00
loop_
_atom_site_label
_atom_site_type_symbol
_atom_site_fract_x
_atom_site_fract_y
_atom_site_fract_z
Ta1 Ta 0.000 0.000 0.000
In1 In 0.500 0.500 0.500
Fe1 Fe 0.000 0.000 0.500